! CsMg4In8 | Alexandria via LeMat-Bulk | PBE | relaxed; values from VASP
&SYSTEM
  ibrav = 0, nat = 13, ntyp = 3
/
ATOMIC_SPECIES
Cs 132.91 Cs.upf
Mg 24.30 Mg.upf
In 114.82 In.upf
ATOMIC_POSITIONS crystal
Cs 0.000 0.000 0.000
Mg 0.000 0.000 0.500
Mg 0.000 0.500 0.000
Mg 0.500 0.000 0.000
Mg 0.500 0.500 0.500
In 0.000 0.350 0.350
In 0.000 0.650 0.650
In 0.273 0.500 0.773
In 0.350 0.000 0.350
In 0.500 0.273 0.773
In 0.500 0.727 0.227
In 0.650 0.000 0.650
In 0.727 0.500 0.227
CELL_PARAMETERS angstrom
-5.303 5.303 3.127
5.303 -5.303 3.127
5.303 5.303 -3.127
! DFT formation energy: -0.87 eV per formula unit
! raw total energy: -2.31 eV per atom